VASP calculation (PBE) on Li2OsW after structural relaxation.

Lattice parameters (Å, degrees): 2.700 2.700 9.482 90.00 90.00 113.95
Fractional coordinates of all 4 atoms:
1 Li 0.000 0.000 0.991
2 Li 0.500 0.500 0.270
3 Os 0.000 0.000 0.504
4 W 0.500 0.500 0.735

Computed properties:
Energy = -26.9 eV/cell
Offset from the most stable computed form = 0.081 eV/atom
Symmetry = Cmm2, No. 35
Calculated formation energy = 0.268 eV/atom